1.
Entry from Alexandria via LeMat-Bulk: crystalline Be2Te2Ir at its relaxed geometry (PBE-GGA).

Calculated values
energy relative to the lowest polymorph listed for this composition = 0 meV/atom
raw formation energy = 197 kJ/mol of formula units

Structure (extended XYZ):
```
10
Lattice="6.6523 0.0000 0.0000 0.0000 6.6523 0.0000 0.0000 0.0000 3.6787" Properties=species:S:1:pos:R:3 pbc="T T T"
Be 0.8199 2.5062 0.0000
Be 2.5062 5.8324 0.0000
Be 4.1460 0.8199 0.0000
Be 5.8324 4.1460 0.0000
Te 1.2790 4.6051 1.8394
Te 2.0472 1.2790 1.8394
Te 4.6051 5.3733 1.8394
Te 5.3733 2.0472 1.8394
Ir 0.0000 0.0000 0.0000
Ir 3.3261 3.3261 0.0000
```

---

2.
Entry from Alexandria via LeMat-Bulk: crystalline La2Er17 at its relaxed geometry (PBE-GGA).

Calculated values
formation energy = 273 meV per atom

Structure (extended XYZ):
```
19
Lattice="5.6631 3.2696 5.7123 -5.6631 3.2696 5.7123 0.0000 -6.5392 5.7123" Properties=species:S:1:pos:R:3 pbc="T T T"
La 0.0000 0.0000 2.8524
La 0.0000 0.0000 14.2845
Er -2.8316 -1.6348 5.7123
Er 0.0000 -3.3337 5.3082
Er -2.8871 1.6669 5.3082
Er -1.6872 -2.9224 8.5685
Er -3.3745 0.0000 8.5685
Er -2.8871 -1.6669 11.8288
Er 0.0000 0.0000 6.8516
Er -2.8316 1.6348 11.4246
Er 1.6872 -2.9224 8.5685
Er 0.0000 3.2696 5.7123
Er -1.6872 2.9224 8.5685
Er 0.0000 0.0000 10.2854
Er 2.8871 1.6669 5.3082
Er 3.3745 0.0000 8.5685
Er 1.6872 2.9224 8.5685
Er 2.8871 -1.6669 11.8288
Er 0.0000 3.3337 11.8288
```

---

3.
Entry from Alexandria via LeMat-Bulk: crystalline AgSnPt at its relaxed geometry (PBE-GGA).

Calculated values
energy relative to the lowest polymorph listed for this composition = 54 meV/atom
formation energy = -190 meV per atom

Structure (extended XYZ):
```
6
Lattice="2.7511 -2.6937 0.0000 2.7511 2.6937 0.0000 -1.7275 0.0000 8.1053" Properties=species:S:1:pos:R:3 pbc="T T T"
Ag 0.5224 0.0000 3.7415
Ag 3.2524 0.0000 4.3637
Sn 1.4084 0.0000 1.0590
Sn 2.3664 0.0000 7.0463
Pt -0.3184 0.0000 6.4439
Pt 4.0932 0.0000 1.6614
```